The following is a DFT calculation (GGA-PBE) of crystalline Pr2NbAs5 at its relaxed geometry.

Lattice parameters (Å, degrees): 4.3058 4.3058 11.1803 90.00 90.00 90.00
Sites, in units of the cell vectors:
As (0.0000, 0.5000, 0.1677)
As (0.5000, 0.5000, 0.0000)
As (0.5000, 0.0000, 0.8323)
As (0.5000, 0.0000, 0.1677)
As (0.0000, 0.5000, 0.8323)
Nb (0.0000, 0.0000, 0.0000)
Pr (0.5000, 0.5000, 0.6419)
Pr (0.5000, 0.5000, 0.3581)

Calculated values
The space group is No. 123. The magnetic moment comes out at 0.0 μB per cell. For the density, the calculation gives 6.003 g/cm3. The total DFT energy (no corrections) is -5.348 eV per atom.